Entry from Alexandria via LeMat-Bulk: KNa2Tl2 after structural relaxation (GGA-PBE).

Lattice parameters (Å, degrees): 9.5096 9.5096 3.7184 90.00 90.00 90.00
Last column: nearest neighbours and their distance in Å.
Positions (direct):
1 Na 0.6710 0.8290 0.5000  6 Tl 3.36-3.38, 2 Na 3.72
2 Na 0.1710 0.6710 0.5000  6 Tl 3.36-3.38, 2 Na 3.72
3 Na 0.3290 0.1710 0.5000  6 Tl 3.36-3.38, 2 Na 3.72
4 Na 0.8290 0.3290 0.5000  6 Tl 3.36-3.38, 2 Na 3.72
5 Tl 0.3789 0.8789 0.0000  1 Tl 3.26, 6 Na 3.36-3.38
6 Tl 0.6211 0.1211 0.0000  1 Tl 3.26, 6 Na 3.36-3.38
7 Tl 0.1211 0.3789 0.0000  1 Tl 3.26, 6 Na 3.36-3.38
8 Tl 0.8789 0.6211 0.0000  1 Tl 3.26, 6 Na 3.36-3.38
9 K 0.0000 0.0000 0.0000  2 K 3.72, 4 Tl 3.78, 8 Na 3.99
10 K 0.5000 0.5000 0.0000  2 K 3.72, 4 Tl 3.78, 8 Na 3.99

Summary:
For the formation enthalpy at 0 K, the calculation gives -0.36 eV per formula unit. The density of states at the Fermi level comes out at 6.1 states/eV/cell. The calculation puts the calculated density at 4.88 g cm⁻³. As for the total energy: -17.649 eV for the cell shown. Its space group is No. 127.



Entry from Alexandria via LeMat-Bulk: K3Na5Tl2 after structural relaxation (GGA-PBE).

Lattice parameters (Å, degrees): 7.0317 11.5179 11.5179 91.69 72.23 72.23
Last column: nearest neighbours and their distance in Å.
Positions (direct):
1 Na 0.5072 0.7428 0.7428  2 Tl 3.29, 5 Na 3.36-3.52
2 Na 0.7500 0.5000 0.5000  4 Na 3.50-3.52
3 Na 0.8295 0.5093 0.8317  1 Tl 3.14, 2 Na 3.36
4 Na 0.6705 0.1683 0.4907  1 Tl 3.14, 2 Na 3.36
5 Na 0.2500 0.5000 0.5000  4 Na 3.50-3.52
6 Na 0.0072 0.7428 0.7428  2 Tl 3.29, 5 Na 3.36-3.52
7 Na 0.1705 0.4907 0.1683  1 Tl 3.14, 2 Na 3.36
8 Na 0.4928 0.2572 0.2572  2 Tl 3.29, 5 Na 3.36-3.52
9 Na 0.9928 0.2572 0.2572  2 Tl 3.29, 5 Na 3.36-3.52
10 Na 0.3295 0.8317 0.5093  1 Tl 3.14, 2 Na 3.36
11 Tl 0.8331 0.3158 0.0180  3 Na 3.14-3.29
12 Tl 0.3331 0.0180 0.3158  3 Na 3.14-3.29
13 Tl 0.1669 0.6842 0.9820  3 Na 3.14-3.29
14 Tl 0.6669 0.9820 0.6842  3 Na 3.14-3.29
15 K 0.7500 0.0000 0.0000  2 K 3.52, 2 Na 3.71, 4 Tl 3.87
16 K 0.2500 0.0000 0.0000  2 K 3.52, 2 Na 3.71, 4 Tl 3.87
17 K 0.9080 0.8431 0.3409  4 Na 3.72-4.07, 4 Tl 3.87-4.08
18 K 0.4080 0.3409 0.8431  4 Na 3.72-4.07, 4 Tl 3.87-4.08
19 K 0.5920 0.6591 0.1569  4 Na 3.72-4.07, 4 Tl 3.87-4.08
20 K 0.0920 0.1569 0.6591  4 Na 3.72-4.07, 4 Tl 3.87-4.08

Summary:
For the formation enthalpy at 0 K, the calculation gives 0.16 eV per formula unit. The density of states at the Fermi level comes out at 10.7 states/eV/cell. The calculation puts the calculated density at 2.54 g cm⁻³. As for the total energy: -28.930 eV for the cell shown. Its space group is No. 72.



Entry from Alexandria via LeMat-Bulk: K4Na6Tl after structural relaxation (GGA-PBE).

Lattice parameters (Å, degrees): 9.7579 9.7579 10.5539 90.00 90.00 90.00
Last column: nearest neighbours and their distance in Å.
Positions (direct):
1 Na 0.6289 0.1702 0.0000  1 Tl 3.46, 4 K 3.77-3.84
2 Na 0.0000 0.0000 0.8336  1 Na 3.51, 1 Tl 3.52, 4 K 3.79
3 Na 0.3711 0.8298 0.0000  1 Tl 3.46, 4 K 3.77-3.84
4 Na 0.1702 0.3711 0.0000  1 Tl 3.46, 4 K 3.77-3.84
5 Na 0.8298 0.6289 0.0000  1 Tl 3.46, 4 K 3.77-3.84
6 Na 0.0000 0.0000 0.1664  1 Na 3.51, 1 Tl 3.52, 4 K 3.79
7 Na 0.1289 0.3298 0.5000  1 Tl 3.46, 4 K 3.77-3.84
8 Na 0.5000 0.5000 0.3336  1 Na 3.51, 1 Tl 3.52, 4 K 3.79
9 Na 0.6702 0.1289 0.5000  1 Tl 3.46, 4 K 3.77-3.84
10 Na 0.5000 0.5000 0.6664  1 Na 3.51, 1 Tl 3.52, 4 K 3.79
11 Na 0.8711 0.6702 0.5000  1 Tl 3.46, 4 K 3.77-3.84
12 Na 0.3298 0.8711 0.5000  1 Tl 3.46, 4 K 3.77-3.84
13 K 0.8431 0.3431 0.7500  8 Na 3.77-4.15
14 K 0.3431 0.1569 0.2500  8 Na 3.77-4.15
15 K 0.1569 0.6569 0.2500  8 Na 3.77-4.15
16 K 0.8431 0.3431 0.2500  8 Na 3.77-4.15
17 K 0.1569 0.6569 0.7500  8 Na 3.77-4.15
18 K 0.3431 0.1569 0.7500  8 Na 3.77-4.15
19 K 0.6569 0.8431 0.2500  8 Na 3.77-4.15
20 K 0.6569 0.8431 0.7500  8 Na 3.77-4.15
21 Tl 0.0000 0.0000 0.5000  6 Na 3.46-3.52
22 Tl 0.5000 0.5000 0.0000  6 Na 3.46-3.52

Summary:
For the formation enthalpy at 0 K, the calculation gives 0.34 eV per formula unit. The density of states at the Fermi level comes out at 12.4 states/eV/cell. The calculation puts the calculated density at 1.65 g cm⁻³. As for the total energy: -28.652 eV for the cell shown. Its space group is No. 128.



Entry from Alexandria via LeMat-Bulk: K2NaTl4 after structural relaxation (GGA-PBE).

Lattice parameters (Å, degrees): 5.2309 5.2311 11.8129 90.00 90.00 120.01
Last column: nearest neighbours and their distance in Å.
Positions (direct):
1 Tl 0.3333 0.6666 0.7021  4 Tl 3.34-3.35, 3 K 3.64
2 Tl 0.6667 0.3333 0.5812  3 Na 3.17, 4 Tl 3.34-3.35, 1 K 3.47
3 Tl 0.3333 0.6667 0.4188  3 Na 3.17, 4 Tl 3.34-3.35, 1 K 3.47
4 Tl 0.6667 0.3334 0.2979  4 Tl 3.34-3.35, 3 K 3.64
5 K 0.3333 0.6666 0.1253  4 Tl 3.47-3.64
6 K 0.6667 0.3334 0.8747  4 Tl 3.47-3.64
7 Na 0.0000 0.0000 0.5000  6 Tl 3.17

Summary:
For the formation enthalpy at 0 K, the calculation gives -0.29 eV per formula unit. The density of states at the Fermi level comes out at 3.2 states/eV/cell. The calculation puts the calculated density at 5.45 g cm⁻³. As for the total energy: -13.270 eV for the cell shown. Its space group is No. 164.



Entry from Alexandria via LeMat-Bulk: K12Na6Tl after structural relaxation (GGA-PBE).

Lattice parameters (Å, degrees): 10.2277 10.2277 10.2277 87.95 87.95 87.95
Last column: nearest neighbours and their distance in Å.
Positions (direct):
1 Na 0.0977 0.7594 0.2410  1 Tl 3.56, 2 Na 3.71
2 Na 0.7594 0.2410 0.0977  1 Tl 3.56, 2 Na 3.71
3 Na 0.2406 0.7590 0.9023  1 Tl 3.56, 2 Na 3.71
4 Na 0.2410 0.0977 0.7594  1 Tl 3.56, 2 Na 3.71
5 Na 0.7590 0.9023 0.2406  1 Tl 3.56, 2 Na 3.71
6 Na 0.9023 0.2406 0.7590  1 Tl 3.56, 2 Na 3.71
7 K 0.3650 0.0281 0.1448  4 Na 4.02-4.32, 4 K 4.02-4.37, 1 Tl 4.09
8 K 0.5340 0.4318 0.8064  4 Na 4.20-4.67, 5 K 4.27-4.57
9 K 0.9719 0.8552 0.6350  4 Na 4.02-4.32, 4 K 4.02-4.37, 1 Tl 4.09
10 K 0.8064 0.5340 0.4318  4 Na 4.20-4.67, 5 K 4.27-4.57
11 K 0.4660 0.5682 0.1936  4 Na 4.20-4.67, 5 K 4.27-4.57
12 K 0.8552 0.6350 0.9719  4 Na 4.02-4.32, 4 K 4.02-4.37, 1 Tl 4.09
13 K 0.1448 0.3650 0.0281  4 Na 4.02-4.32, 4 K 4.02-4.37, 1 Tl 4.09
14 K 0.5682 0.1936 0.4660  4 Na 4.20-4.67, 5 K 4.27-4.57
15 K 0.0281 0.1448 0.3650  4 Na 4.02-4.32, 4 K 4.02-4.37, 1 Tl 4.09
16 K 0.4318 0.8064 0.5340  4 Na 4.20-4.67, 5 K 4.27-4.57
17 K 0.1936 0.4660 0.5682  4 Na 4.20-4.67, 5 K 4.27-4.57
18 K 0.6350 0.9719 0.8552  4 Na 4.02-4.32, 4 K 4.02-4.37, 1 Tl 4.09
19 Tl 0.0000 0.0000 0.0000  6 Na 3.56

Summary:
For the formation enthalpy at 0 K, the calculation gives 0.12 eV per formula unit. The density of states at the Fermi level comes out at 11.5 states/eV/cell. The calculation puts the calculated density at 1.26 g cm⁻³. As for the total energy: -23.329 eV for the cell shown. Its space group is No. 148.



Entry from Alexandria via LeMat-Bulk: KNa8Tl2 after structural relaxation (GGA-PBE).

Lattice parameters (Å, degrees): 6.4163 9.5468 8.6614 56.56 80.10 71.82
Last column: nearest neighbours and their distance in Å.
Positions (direct):
1 Na 0.0966 0.9254 0.7428  2 Tl 3.21, 1 Na 3.55
2 Na 0.9034 0.3318 0.7428  2 Tl 3.21, 1 Na 3.55
3 Na 0.2878 0.4235 0.0000  2 Tl 3.25, 2 Na 3.47-3.52
4 Na 0.5000 0.2632 0.4736  2 Tl 3.28, 2 Na 3.55
5 Na 0.5000 0.7368 0.5264  2 Tl 3.28, 2 Na 3.55
6 Na 0.7123 0.5765 0.0000  2 Tl 3.25, 2 Na 3.47-3.52
7 Na 0.9034 0.0746 0.2572  2 Tl 3.21, 1 Na 3.55
8 Na 0.0966 0.6682 0.2572  2 Tl 3.21, 1 Na 3.55
9 Tl 0.0000 0.3107 0.3787  8 Na 3.21-3.28
10 Tl 0.0000 0.6893 0.6213  8 Na 3.21-3.28
11 K 0.5000 0.0000 0.0000  12 Na 3.80-4.15

Summary:
For the formation enthalpy at 0 K, the calculation gives -0.01 eV per formula unit. The density of states at the Fermi level comes out at 6.7 states/eV/cell. The calculation puts the calculated density at 2.49 g cm⁻³. As for the total energy: -16.390 eV for the cell shown. Its space group is No. 12.